(1)
# CoNi2Os, relaxed, DFT PBE
# magnetization = 1.4 μB per cell
# distance to the lowest polymorph of the same formula = 1 meV/atom
# ΔH_f (0 K) = 100.0 meV per atom
# crystal system = monoclinic
data_CoNi2Os
_chemical_formula_sum 'Co2 Ni4 Os2'
_cell_length_a 8.413
_cell_length_b 2.566
_cell_length_c 4.408
_cell_angle_alpha 90.00
_cell_angle_beta 99.76
_cell_angle_gamma 90.00
_space_group_name_H-M_alt 'C 1 m 1'
_space_group_IT_number 8
loop_
_space_group_symop_operation_xyz
'x,y,z'
'x,-y,z'
'x+1/2,y+1/2,z'
'x+1/2,-y+1/2,z'
loop_
_atom_site_label
_atom_site_type_symbol
_atom_site_fract_x
_atom_site_fract_y
_atom_site_fract_z
Co1 Co 0.000 0.000 0.000
Ni1 Ni 0.000 0.500 0.496
Ni2 Ni 0.251 0.000 0.735
Os1 Os 0.249 0.500 0.232

=====

(2)
# ZnCd12Hg6, relaxed, DFT PBE
# magnetization = 0.0 μB per cell
# ΔH_f (0 K) = 40.7 meV per atom
# crystal system = trigonal
data_ZnCd12Hg6
_chemical_formula_sum 'Zn3 Cd36 Hg18'
_cell_length_a 12.5951
_cell_length_b 12.5951
_cell_length_c 9.8910
_cell_angle_alpha 90.00
_cell_angle_beta 90.00
_cell_angle_gamma 120.00
_space_group_name_H-M_alt 'R -3'
_space_group_IT_number 148
_space_group_name_Hall '-R 3'
loop_
_atom_site_label
_atom_site_type_symbol
_atom_site_fract_x
_atom_site_fract_y
_atom_site_fract_z
Zn1 Zn 0.0000 0.0000 0.0000
Cd1 Cd 0.0172 0.7769 0.0503
Cd2 Cd 0.0789 0.5870 0.1149
Hg1 Hg 0.0410 0.8707 0.7457